Density functional theory data (PBE-GGA) for an optimized crystal structure of CsCoIr3.

Lattice parameters (Å, degrees): 4.958 4.958 4.958 90.00 90.00 90.00
Space group Pm-3m (No. 221)
Unique sites:
Cs 0.000 0.000 0.000 [1 per cell]
Co 0.500 0.500 0.500 [1 per cell]
Ir 0.000 0.000 0.500 [3 per cell]

Output
E_tot (eV/cell): -17.23
V (Å³ per cell): 122
Formation energy (eV per formula unit): 17.31
Calculated density (Mg/m³): 10.47